Record 1
! MgCrNi, optimized geometry, DFT GGA-PBE; values from VASP
! Magnetic moment   0.00 μB/f.u.
! ΔH_f (0 K)   216 meV/atom
! Fermi-level density of states   2.31 states/eV/f.u.
! Energy relative to the lowest polymorph listed for this composition   159 meV per atom
! E   -0.2003 Ha/atom
&SYSTEM
  ibrav = 0, nat = 3, ntyp = 3
/
ATOMIC_SPECIES
Mg 24.30 Mg.upf
Cr 52.00 Cr.upf
Ni 58.69 Ni.upf
CELL_PARAMETERS angstrom
-1.3354 1.3354 5.6451
1.3354 -1.3354 5.6451
1.3354 1.3354 -5.6451
ATOMIC_POSITIONS angstrom
Mg 0.0000 0.0000 0.0000
Cr 0.0000 0.0000 3.4929
Ni 0.0000 0.0000 7.5971

Record 2
! MgCrNi, optimized geometry, DFT GGA-PBE; values from VASP
! Magnetic moment   0.00 μB/f.u.
! ΔH_f (0 K)   126 meV/atom
! Fermi-level density of states   2.30 states/eV/f.u.
! Energy relative to the lowest polymorph listed for this composition   70 meV per atom
! E   -0.2036 Ha/atom
&SYSTEM
  ibrav = 0, nat = 12, ntyp = 3
/
ATOMIC_SPECIES
Mg 24.30 Mg.upf
Cr 52.00 Cr.upf
Ni 58.69 Ni.upf
CELL_PARAMETERS angstrom
7.4189 0.0000 0.0000
0.0000 2.8695 0.0000
0.0000 0.0000 7.7994
ATOMIC_POSITIONS angstrom
Mg 0.4692 0.7174 1.2476
Mg 3.2403 2.1521 5.1473
Mg 4.1786 0.7174 2.6520
Mg 6.9497 2.1521 6.5517
Cr 0.7174 0.7174 4.3085
Cr 2.9921 2.1521 0.4088
Cr 4.4268 0.7174 7.3905
Cr 6.7015 2.1521 3.4909
Ni 1.7497 0.7174 6.6749
Ni 1.9597 2.1521 2.7752
Ni 5.4591 0.7174 5.0242
Ni 5.6692 2.1521 1.1245

Record 3
! MgCrNi, optimized geometry, DFT GGA-PBE; values from VASP
! Magnetic moment   3.14 μB/f.u.
! ΔH_f (0 K)   279 meV/atom
! Fermi-level density of states   3.01 states/eV/f.u.
! Energy relative to the lowest polymorph listed for this composition   223 meV per atom
! E   -0.1980 Ha/atom
&SYSTEM
  ibrav = 0, nat = 6, ntyp = 3
/
ATOMIC_SPECIES
Mg 24.30 Mg.upf
Cr 52.00 Cr.upf
Ni 58.69 Ni.upf
CELL_PARAMETERS angstrom
4.2834 0.0000 0.0000
-2.1417 3.7095 0.0000
0.0000 0.0000 5.5008
ATOMIC_POSITIONS angstrom
Mg 0.0000 0.0000 0.0000
Mg 0.0000 0.0000 2.7504
Cr 0.0000 2.4730 1.3752
Cr 2.1417 1.2365 4.1256
Ni 0.0000 2.4730 4.1256
Ni 2.1417 1.2365 1.3752

Record 4
! MgCrNi, optimized geometry, DFT GGA-PBE; values from VASP
! Magnetic moment   0.14 μB/f.u.
! ΔH_f (0 K)   122 meV/atom
! Fermi-level density of states   1.26 states/eV/f.u.
! Energy relative to the lowest polymorph listed for this composition   65 meV per atom
! E   -0.2038 Ha/atom
&SYSTEM
  ibrav = 0, nat = 6, ntyp = 3
/
ATOMIC_SPECIES
Mg 24.30 Mg.upf
Cr 52.00 Cr.upf
Ni 58.69 Ni.upf
CELL_PARAMETERS angstrom
3.6610 -2.1193 0.0000
3.6610 2.1193 0.0000
-0.0118 0.0000 5.4138
ATOMIC_POSITIONS angstrom
Mg 0.0000 0.0000 0.0000
Mg 4.8719 0.0000 3.6924
Cr 2.4365 0.0000 1.8400
Cr 4.8787 0.0000 1.0920
Ni 7.3134 0.0000 2.6917
Ni 2.4316 0.0000 4.6114

Record 5
! MgCrNi, optimized geometry, DFT GGA-PBE; values from VASP
! Magnetic moment   0.00 μB/f.u.
! ΔH_f (0 K)   615 meV/atom
! Fermi-level density of states   1.48 states/eV/f.u.
! Energy relative to the lowest polymorph listed for this composition   558 meV per atom
! E   -0.1857 Ha/atom
&SYSTEM
  ibrav = 0, nat = 3, ntyp = 3
/
ATOMIC_SPECIES
Mg 24.30 Mg.upf
Cr 52.00 Cr.upf
Ni 58.69 Ni.upf
CELL_PARAMETERS angstrom
0.0000 2.8344 2.8344
2.8344 0.0000 2.8344
2.8344 2.8344 0.0000
ATOMIC_POSITIONS angstrom
Mg 0.0000 0.0000 0.0000
Cr 2.8344 2.8344 2.8344
Ni 1.4172 1.4172 1.4172

Record 6
! MgCrNi, optimized geometry, DFT GGA-PBE; values from VASP
! Magnetic moment   4.35 μB/f.u.
! ΔH_f (0 K)   860 meV/atom
! Fermi-level density of states   2.20 states/eV/f.u.
! Energy relative to the lowest polymorph listed for this composition   804 meV per atom
! E   -0.1766 Ha/atom
&SYSTEM
  ibrav = 0, nat = 3, ntyp = 3
/
ATOMIC_SPECIES
Mg 24.30 Mg.upf
Cr 52.00 Cr.upf
Ni 58.69 Ni.upf
CELL_PARAMETERS angstrom
0.0000 2.9936 2.9936
2.9936 0.0000 2.9936
2.9936 2.9936 0.0000
ATOMIC_POSITIONS angstrom
Mg 0.0000 0.0000 0.0000
Cr 4.4904 4.4904 4.4904
Ni 1.4968 1.4968 1.4968

Record 7
! MgCrNi, optimized geometry, DFT GGA-PBE; values from VASP
! Magnetic moment   1.35 μB/f.u.
! ΔH_f (0 K)   368 meV/atom
! Fermi-level density of states   4.11 states/eV/f.u.
! Energy relative to the lowest polymorph listed for this composition   312 meV per atom
! E   -0.1947 Ha/atom
&SYSTEM
  ibrav = 0, nat = 3, ntyp = 3
/
ATOMIC_SPECIES
Mg 24.30 Mg.upf
Cr 52.00 Cr.upf
Ni 58.69 Ni.upf
CELL_PARAMETERS angstrom
4.2514 0.0000 0.0000
-2.1257 3.6818 0.0000
0.0000 0.0000 2.5795
ATOMIC_POSITIONS angstrom
Mg 0.0000 0.0000 0.0000
Cr 0.0000 2.4546 1.4902
Ni 2.1257 1.2273 0.9614

Record 8
! MgCrNi, optimized geometry, DFT GGA-PBE; values from VASP
! Magnetic moment   0.45 μB/f.u.
! ΔH_f (0 K)   284 meV/atom
! Fermi-level density of states   2.48 states/eV/f.u.
! Energy relative to the lowest polymorph listed for this composition   227 meV per atom
! E   -0.1978 Ha/atom
&SYSTEM
  ibrav = 0, nat = 6, ntyp = 3
/
ATOMIC_SPECIES
Mg 24.30 Mg.upf
Cr 52.00 Cr.upf
Ni 58.69 Ni.upf
CELL_PARAMETERS angstrom
4.6907 0.0000 0.0000
-1.1628 4.5486 0.0000
-1.6017 -2.0472 4.0315
ATOMIC_POSITIONS angstrom
Mg -1.0923 -0.6246 4.0298
Mg 3.0185 3.1261 0.0017
Cr -0.8807 1.8987 2.5360
Cr 2.8069 0.6028 1.4955
Ni 0.5435 -0.2440 2.0201
Ni 1.3828 2.7455 2.0113

Record 9
! MgCrNi, optimized geometry, DFT GGA-PBE; values from VASP
! Magnetic moment   0.00 μB/f.u.
! ΔH_f (0 K)   223 meV/atom
! Fermi-level density of states   1.62 states/eV/f.u.
! Energy relative to the lowest polymorph listed for this composition   166 meV per atom
! E   -0.2000 Ha/atom
&SYSTEM
  ibrav = 0, nat = 6, ntyp = 3
/
ATOMIC_SPECIES
Mg 24.30 Mg.upf
Cr 52.00 Cr.upf
Ni 58.69 Ni.upf
CELL_PARAMETERS angstrom
4.2722 0.0000 0.0000
-2.1361 3.6998 0.0000
0.0000 0.0000 5.3726
ATOMIC_POSITIONS angstrom
Mg 0.0000 2.4665 2.0790
Mg 2.1361 1.2333 3.2936
Cr 0.0000 0.0000 0.9304
Cr 0.0000 0.0000 4.4422
Ni 0.0000 2.4665 4.8083
Ni 2.1361 1.2333 0.5643

Record 10
! MgCrNi, optimized geometry, DFT GGA-PBE; values from VASP
! Magnetic moment   0.00 μB/f.u.
! ΔH_f (0 K)   100 meV/atom
! Fermi-level density of states   1.60 states/eV/f.u.
! Energy relative to the lowest polymorph listed for this composition   44 meV per atom
! E   -0.2046 Ha/atom
&SYSTEM
  ibrav = 0, nat = 6, ntyp = 3
/
ATOMIC_SPECIES
Mg 24.30 Mg.upf
Cr 52.00 Cr.upf
Ni 58.69 Ni.upf
CELL_PARAMETERS angstrom
2.0128 -5.1582 0.0000
2.0128 5.1582 0.0000
0.0000 0.0000 4.0827
ATOMIC_POSITIONS angstrom
Mg 0.0000 0.0000 0.0000
Mg 2.0128 0.0000 2.0413
Cr 2.0128 3.1898 2.0413
Cr 2.0128 -3.1898 2.0413
Ni 2.0128 1.8284 0.0000
Ni 2.0128 -1.8284 0.0000

Record 11
! MgCrNi, optimized geometry, DFT GGA-PBE; values from VASP
! Magnetic moment   0.00 μB/f.u.
! ΔH_f (0 K)   173 meV/atom
! Fermi-level density of states   2.75 states/eV/f.u.
! Energy relative to the lowest polymorph listed for this composition   117 meV per atom
! E   -0.2019 Ha/atom
&SYSTEM
  ibrav = 0, nat = 6, ntyp = 3
/
ATOMIC_SPECIES
Mg 24.30 Mg.upf
Cr 52.00 Cr.upf
Ni 58.69 Ni.upf
CELL_PARAMETERS angstrom
4.7816 -1.4302 0.0000
4.7816 1.4302 0.0000
-2.3952 0.0000 6.1032
ATOMIC_POSITIONS angstrom
Mg 0.0000 0.0000 0.0000
Mg 4.6074 0.0000 4.7041
Cr 1.9943 0.0000 3.5093
Cr 5.9643 0.0000 2.1599
Ni -0.8614 0.0000 2.5854
Ni 2.6937 0.0000 0.8052

Record 12
! Mg3CrNi, optimized geometry, DFT GGA-PBE; values from VASP
! Magnetic moment   0.00 μB/f.u.
! ΔH_f (0 K)   905 meV/atom
! Fermi-level density of states   11.98 states/eV/f.u.
! Energy relative to the lowest polymorph listed for this composition   0 meV per atom
! E   -0.1151 Ha/atom
&SYSTEM
  ibrav = 0, nat = 5, ntyp = 3
/
ATOMIC_SPECIES
Mg 24.30 Mg.upf
Cr 52.00 Cr.upf
Ni 58.69 Ni.upf
CELL_PARAMETERS angstrom
4.6215 0.0000 0.0000
0.0000 4.6215 0.0000
0.0000 0.0000 4.6215
ATOMIC_POSITIONS angstrom
Mg 0.0000 0.0000 2.3107
Mg 0.0000 2.3107 0.0000
Mg 2.3107 0.0000 0.0000
Cr 2.3107 2.3107 2.3107
Ni 0.0000 0.0000 0.0000

Question: What is the energy relative to the lowest polymorph listed for this composition in the ninth record?
Answer: 166 meV per atom

Question: Look up the energy relative to the lowest polymorph listed for this composition of the eighth one.
Answer: 227 meV per atom

Question: Which value of Fermi-level density of states does entry 6 give?
Answer: 2.20 states/eV/f.u.